[1]
4
Lattice="-4.613 -2.351 -2.910 5.445 -2.242 0.779 3.051 1.111 4.973" Properties=species:S:1:pos:R:3 comment="Hf2TcPt GGA-PBE relaxed" space_group="Immm, No. 71" formation_enthalpy_0k_mev_per_atom=255 crystal_system=orthorhombic pbc="T T T"
Hf 6.384 -0.850 4.322
Hf 2.111 -0.281 1.430
Pt 4.248 -0.565 2.876
Tc 0.000 0.000 0.000

=====

[2]
6
Lattice="5.469 0.000 0.000 2.734 4.736 0.000 2.734 1.579 4.465" Properties=species:S:1:pos:R:3 comment="GdHoZn4 GGA-PBE relaxed" space_group="F-43m, No. 216" formation_enthalpy_0k_mev_per_atom=-335 crystal_system=cubic pbc="T T T"
Zn 6.838 3.948 2.792
Zn 5.469 3.157 0.556
Zn 4.100 3.948 2.792
Zn 5.469 1.576 2.792
Ho 0.000 0.000 0.000
Gd 2.734 1.579 1.116

=====

[3]
12
Lattice="-1.841 2.310 -4.433 -4.797 -1.325 -1.899 -5.912 6.734 2.763" Properties=species:S:1:pos:R:3 comment="LaPa2Os9 GGA-PBE relaxed" space_group="R-3m, No. 166" formation_enthalpy_0k_mev_per_atom=-74 crystal_system=trigonal pbc="T T T"
Os -4.215 2.090 -1.920
Os -4.489 0.768 -4.137
Os -8.060 6.950 0.567
Os -7.390 4.444 0.625
Os -6.675 1.410 -2.894
Os -6.275 3.859 -1.785
Os -5.874 6.308 -0.675
Os -5.159 3.274 -4.194
Os -8.334 5.628 -1.649
La 0.000 0.000 0.000
Pa -4.368 4.061 0.729
Pa -8.181 3.657 -4.298

=====

[4]
12
Lattice="7.067 0.000 0.007 0.000 3.047 0.000 -4.633 0.000 8.200" Properties=species:S:1:pos:R:3 comment="SnHOs GGA-PBE relaxed" de_polymorph_mev_per_atom=0 space_group="C2/m, No. 12" crystal_system=monoclinic pbc="T T T"
Os -0.046 1.524 2.250
Os 2.480 1.524 5.957
Os -2.362 0.000 6.350
Os 4.796 0.000 1.857
Sn 3.534 1.524 0.004
Sn 0.000 0.000 0.000
Sn 1.217 0.000 4.104
Sn -2.317 1.524 4.100
H 0.894 1.524 6.419
H 1.540 1.524 1.789
H 3.211 0.000 2.319
H -0.777 0.000 5.889